This record from the Alexandria database describes a relaxed structure of LaPm2Os. The functional is GGA-PBE.

Cell and atoms, written as extended XYZ:
```
8
Lattice="-2.948 -0.537 2.708 -1.378 -3.698 -5.247 4.829 -7.224 3.823" Properties=species:S:1:pos:R:3 pbc="T T T"
Pm 1.233 -4.263 0.497
Pm 0.997 -9.781 2.155
Pm -0.730 -7.197 0.787
Pm -0.494 -1.679 -0.871
La -1.178 -5.123 -2.300
La 1.680 -6.336 3.584
Os -1.738 -4.120 0.303
Os 2.240 -7.340 0.981
```

## Properties
formation energy from the elements = -0.13 eV per atom
offset from the most stable computed form = 20 meV per atom
volume = 239.5 Å³/cell
space group = Cmcm, No. 63